Entry 1:
Ce4HoTh15: optimized geometry, GGA-PBE.

Cell lengths 4.9941, 4.9941, 24.8598 Å; angles 90.00, 90.00, 90.00 degrees
With the nearest neighbours (Å) after each atom.
Fractional coordinates of all 20 atoms:
1 Ce 0.0000 0.0000 0.0994  12 Th 3.51-3.53
2 Ce 0.0000 0.0000 0.2985  12 Th 3.51-3.53
3 Ce 0.0000 0.0000 0.7015  12 Th 3.51-3.53
4 Ce 0.0000 0.0000 0.9006  12 Th 3.51-3.53
5 Ho 0.0000 0.0000 0.5000  12 Th 3.53-3.56
6 Th 0.0000 0.5000 0.0000  8 Th 3.51-3.53, 4 Ce 3.51
7 Th 0.0000 0.5000 0.1987  8 Th 3.50-3.53, 4 Ce 3.51-3.52
8 Th 0.0000 0.5000 0.3979  2 Ce 3.51, 8 Th 3.53-3.56, 2 Ho 3.56
9 Th 0.0000 0.5000 0.6021  2 Ce 3.51, 8 Th 3.53-3.56, 2 Ho 3.56
10 Th 0.0000 0.5000 0.8013  8 Th 3.50-3.53, 4 Ce 3.51-3.52
11 Th 0.5000 0.0000 0.0000  8 Th 3.51-3.53, 4 Ce 3.51
12 Th 0.5000 0.0000 0.1987  8 Th 3.50-3.53, 4 Ce 3.51-3.52
13 Th 0.5000 0.0000 0.3979  2 Ce 3.51, 8 Th 3.53-3.56, 2 Ho 3.56
14 Th 0.5000 0.0000 0.6021  2 Ce 3.51, 8 Th 3.53-3.56, 2 Ho 3.56
15 Th 0.5000 0.0000 0.8013  8 Th 3.50-3.53, 4 Ce 3.51-3.52
16 Th 0.5000 0.5000 0.0992  8 Th 3.51, 4 Ce 3.53
17 Th 0.5000 0.5000 0.2974  8 Th 3.50-3.53, 4 Ce 3.53
18 Th 0.5000 0.5000 0.5000  4 Ho 3.53, 8 Th 3.56
19 Th 0.5000 0.5000 0.7026  8 Th 3.50-3.53, 4 Ce 3.53
20 Th 0.5000 0.5000 0.9008  8 Th 3.51, 4 Ce 3.53

## Properties
Volume in Å³/cell: 620.0
D(E_F) in states/eV/atom: 1.321
M_tot in μB per atom: 0.0000
ΔE_f in eV/atom: 0.01

---

Entry 2:
BaScHg2: optimized geometry, GGA-PBE.

Cell lengths 6.6675, 6.6675, 6.6675 Å; angles 43.70, 43.70, 43.70 degrees
With the nearest neighbours (Å) after each atom.
Fractional coordinates of all 4 atoms:
1 Ba 0.0000 0.0000 0.0000  8 Hg 3.68-3.70
2 Sc 0.5000 0.5000 0.5000  6 Hg 2.94
3 Hg 0.2040 0.2040 0.2040  3 Sc 2.94, 3 Hg 3.17
4 Hg 0.7960 0.7960 0.7960  3 Sc 2.94, 3 Hg 3.17

## Properties
Volume in Å³/cell: 128.4
D(E_F) in states/eV/atom: 1.231
M_tot in μB per atom: 0.0000
ΔE_f in eV/atom: -0.33

---

Entry 3:
TmScIr4: optimized geometry, GGA-PBE.

Cell lengths 5.2838, 5.2838, 5.2838 Å; angles 60.00, 60.00, 60.00 degrees
With the nearest neighbours (Å) after each atom.
Fractional coordinates of all 6 atoms:
1 Tm 0.0000 0.0000 0.0000  12 Ir 3.10, 4 Sc 3.24
2 Sc 0.7500 0.7500 0.7500  12 Ir 3.10, 4 Tm 3.24
3 Ir 0.3752 0.3752 0.3752  6 Ir 2.64-2.65
4 Ir 0.3752 0.3752 0.8745  6 Ir 2.64-2.65
5 Ir 0.3752 0.8745 0.3752  6 Ir 2.64-2.65
6 Ir 0.8745 0.3752 0.3752  6 Ir 2.64-2.65

## Properties
Volume in Å³/cell: 104.3
D(E_F) in states/eV/atom: 0.843
M_tot in μB per atom: 0.0000
ΔE_f in eV/atom: -0.79

---

Entry 4:
V3GaFe4: optimized geometry, GGA-PBE.

Cell lengths 7.0230, 7.0230, 7.0230 Å; angles 33.55, 33.55, 33.55 degrees
With the nearest neighbours (Å) after each atom.
Fractional coordinates of all 8 atoms:
1 V 0.0000 0.0000 0.0000  8 Fe 2.41-2.46
2 V 0.2479 0.2479 0.2479  8 Fe 2.45-2.52
3 V 0.7521 0.7521 0.7521  8 Fe 2.45-2.52
4 Ga 0.5000 0.5000 0.5000  8 Fe 2.51-2.54
5 Fe 0.1214 0.1214 0.1214  5 V 2.41-2.51, 3 Ga 2.51
6 Fe 0.3719 0.3719 0.3719  7 V 2.46-2.52, 1 Ga 2.54
7 Fe 0.6281 0.6281 0.6281  7 V 2.46-2.52, 1 Ga 2.54
8 Fe 0.8786 0.8786 0.8786  5 V 2.41-2.51, 3 Ga 2.51

## Properties
Volume in Å³/cell: 94.2
D(E_F) in states/eV/atom: 0.953
M_tot in μB per atom: 0.2115
ΔE_f in eV/atom: -0.21

---

Entry 5:
Sm2ScV: optimized geometry, GGA-PBE.

Cell lengths 11.4338, 11.4338, 11.4338 Å; angles 16.78, 16.78, 16.78 degrees
With the nearest neighbours (Å) after each atom.
Fractional coordinates of all 4 atoms:
1 Sm 0.0838 0.0838 0.0838  1 V 2.83
2 Sm 0.9162 0.9162 0.9162  1 V 2.83
3 Sc 0.5000 0.5000 0.5000  6 Sc 3.34, 6 Sm 3.40
4 V 0.0000 0.0000 0.0000  2 Sm 2.83

## Properties
Volume in Å³/cell: 108.7
D(E_F) in states/eV/atom: 1.729
M_tot in μB per atom: 0.7711
ΔE_f in eV/atom: 0.63

---

Entry 6:
CsTiCu2Ru: optimized geometry, GGA-PBE.

Cell lengths 5.2260, 5.2260, 4.4726 Å; angles 90.00, 90.00, 90.00 degrees
With the nearest neighbours (Å) after each atom.
Fractional coordinates of all 5 atoms:
1 Cs 0.0000 0.0000 0.0000  8 Cu 3.44, 4 Ru 3.70
2 Ti 0.5000 0.5000 0.5000  2 Ru 2.24
3 Cu 0.0000 0.5000 0.5000  2 Ti 2.61
4 Cu 0.5000 0.0000 0.5000  2 Ti 2.61
5 Ru 0.5000 0.5000 0.0000  2 Ti 2.24

## Properties
Volume in Å³/cell: 122.2
D(E_F) in states/eV/atom: 0.507
M_tot in μB per atom: 0.0000
ΔE_f in eV/atom: 0.91

---

Entry 7:
MgZn6Rh2: optimized geometry, GGA-PBE.

Cell lengths 6.3235, 6.3235, 6.2340 Å; angles 108.41, 108.41, 33.87 degrees
With the nearest neighbours (Å) after each atom.
Fractional coordinates of all 9 atoms:
1 Mg 0.0000 0.0000 0.0000  4 Rh 2.68, 8 Zn 2.74-2.83
2 Zn 0.1031 0.1031 0.6556  7 Zn 2.61-2.90, 4 Rh 2.66-2.73, 1 Mg 2.82
3 Zn 0.2241 0.2241 0.3389  8 Zn 2.64-2.82, 3 Rh 2.68-2.73, 1 Mg 2.83
4 Zn 0.3325 0.3325 0.0035  8 Zn 2.71-2.90, 2 Mg 2.74, 2 Rh 2.79-2.85
5 Zn 0.6675 0.6675 0.9965  8 Zn 2.71-2.90, 2 Mg 2.74, 2 Rh 2.79-2.85
6 Zn 0.7759 0.7759 0.6611  8 Zn 2.64-2.82, 3 Rh 2.68-2.73, 1 Mg 2.83
7 Zn 0.8969 0.8969 0.3444  7 Zn 2.61-2.90, 4 Rh 2.66-2.73, 1 Mg 2.82
8 Rh 0.4384 0.4384 0.6686  9 Zn 2.66-2.85, 2 Mg 2.68, 1 Rh 2.95
9 Rh 0.5616 0.5616 0.3314  9 Zn 2.66-2.85, 2 Mg 2.68, 1 Rh 2.95

## Properties
Volume in Å³/cell: 131.2
D(E_F) in states/eV/atom: 0.357
M_tot in μB per atom: 0.0000
ΔE_f in eV/atom: -0.29

---

Entry 8:
Ba2MgTi2: optimized geometry, GGA-PBE.

Cell lengths 8.1710, 8.1710, 8.1710 Å; angles 145.92, 145.92, 48.97 degrees
With the nearest neighbours (Å) after each atom.
Fractional coordinates of all 5 atoms:
1 Ba 0.2500 0.7500 0.5000  4 Ba 3.39, 4 Ti 3.61
2 Ba 0.7500 0.2500 0.5000  4 Ba 3.39, 4 Ti 3.61
3 Mg 0.0000 0.0000 0.0000  8 Ti 3.53
4 Ti 0.4321 0.4321 0.0000  1 Ti 2.02
5 Ti 0.5679 0.5679 0.0000  1 Ti 2.02

## Properties
Volume in Å³/cell: 170.6
D(E_F) in states/eV/atom: 1.855
Energy above the lowest structure with this stoichiometry in meV/atom: 250
M_tot in μB per atom: 0.0035
ΔE_f in eV/atom: 0.95

---

Entry 9:
PrThRuAu: optimized geometry, GGA-PBE.

Cell lengths 5.1460, 5.1460, 5.1460 Å; angles 60.00, 60.00, 60.00 degrees
With the nearest neighbours (Å) after each atom.
Fractional coordinates of all 4 atoms:
1 Pr 0.0000 0.0000 0.0000  4 Ru 3.15, 4 Au 3.15
2 Th 0.5000 0.5000 0.5000  4 Ru 3.15, 4 Au 3.15
3 Ru 0.7500 0.7500 0.7500  4 Th 3.15, 4 Pr 3.15
4 Au 0.2500 0.2500 0.2500  4 Th 3.15, 4 Pr 3.15

## Properties
Volume in Å³/cell: 96.4
D(E_F) in states/eV/atom: 1.009
M_tot in μB per atom: 0.0000
ΔE_f in eV/atom: -0.40

---

Entry 10:
MgZnTe2: optimized geometry, GGA-PBE.

Cell lengths 4.0797, 4.0797, 7.9195 Å; angles 90.00, 90.00, 120.14 degrees
With the nearest neighbours (Å) after each atom.
Fractional coordinates of all 4 atoms:
1 Mg 0.0000 0.0000 0.0000  4 Te 2.87
2 Zn 0.0000 0.0000 0.5000  4 Te 2.81
3 Te 0.5000 0.5000 0.2563  2 Zn 2.81, 2 Mg 2.87
4 Te 0.5000 0.5000 0.7437  2 Zn 2.81, 2 Mg 2.87

## Properties
Volume in Å³/cell: 114.0
Total DFT energy (no corrections) in eV per atom: -2.465
D(E_F) in states/eV/atom: 0.506
M_tot in μB per atom: 0.0000

---

Entry 11:
SrNdCdAu: optimized geometry, GGA-PBE.

Cell lengths 5.4392, 5.4392, 5.4392 Å; angles 60.00, 60.00, 60.00 degrees
With the nearest neighbours (Å) after each atom.
Fractional coordinates of all 4 atoms:
1 Sr 0.0000 0.0000 0.0000  4 Cd 3.33, 4 Au 3.33
2 Nd 0.5000 0.5000 0.5000  4 Cd 3.33, 4 Au 3.33
3 Cd 0.7500 0.7500 0.7500  4 Nd 3.33, 4 Sr 3.33
4 Au 0.2500 0.2500 0.2500  4 Nd 3.33, 4 Sr 3.33

## Properties
Volume in Å³/cell: 113.8
D(E_F) in states/eV/atom: 0.883
M_tot in μB per atom: 0.0000
ΔE_f in eV/atom: -0.48

---

Entry 12:
LiAc3Y2Se6: optimized geometry, GGA-PBE.

Cell lengths 7.3701, 7.3701, 7.4311 Å; angles 99.53, 99.53, 120.14 degrees
With the nearest neighbours (Å) after each atom.
Fractional coordinates of all 12 atoms:
1 Li 0.0000 0.0000 0.0000  6 Se 2.85-2.86
2 Ac 0.1669 0.8331 0.5000  6 Se 3.13-3.17
3 Ac 0.5000 0.5000 0.5000  6 Se 3.13-3.19
4 Ac 0.8331 0.1669 0.5000  6 Se 3.13-3.17
5 Y 0.3342 0.6658 0.0000  6 Se 2.91-2.92
6 Y 0.6658 0.3342 0.0000  6 Se 2.91-2.92
7 Se 0.0729 0.4008 0.2201  1 Li 2.86, 2 Y 2.92, 3 Ac 3.13-3.17
8 Se 0.2535 0.2535 0.7815  1 Li 2.85, 2 Y 2.91, 3 Ac 3.13-3.19
9 Se 0.4008 0.0729 0.2201  1 Li 2.86, 2 Y 2.92, 3 Ac 3.13-3.17
10 Se 0.5992 0.9271 0.7799  1 Li 2.86, 2 Y 2.92, 3 Ac 3.13-3.17
11 Se 0.7465 0.7465 0.2185  1 Li 2.85, 2 Y 2.91, 3 Ac 3.13-3.19
12 Se 0.9271 0.5992 0.7799  1 Li 2.86, 2 Y 2.92, 3 Ac 3.13-3.17

## Properties
Volume in Å³/cell: 329.3
Total DFT energy (no corrections) in eV per atom: -5.783
D(E_F) in states/eV/atom: 0.464
M_tot in μB per atom: 0.0000

---

Which value of D(E_F) does entry 11 give? 0.883 states/eV/atom